Entry 1:
Computed, not measured: an optimized crystal structure of LaNdTe2Cl at the GGA-PBE level of DFT.

It has space group P4/nmm (No. 129, origin choice 2), with a = 4.469 Å, b = 4.469 Å, c = 15.200 Å, α = 90.00°, β = 90.00° and γ = 90.00°. The asymmetric unit holds La at (0.250, 0.250, 0.134), Nd at (0.250, 0.250, 0.587), Te at (0.250, 0.250, 0.375), Te at (0.250, 0.250, 0.800) and Cl at (0.250, 0.750, 0.000).

The value obtained for the energy relative to the elements, uncorrected is -1.7441 eV per atom. The calculation puts the density of states at the Fermi level at 0.310 states/eV per atom. As for the calculated volume: 30.36 Å³/atom. Its crystal system is tetragonal.

---

Entry 2:
Computed, not measured: an optimized crystal structure of LaNi2Cl at the GGA-PBE level of DFT.

It has space group P4mm (No. 99), with a = 3.440 Å, b = 3.440 Å, c = 7.442 Å, α = 90.00°, β = 90.00° and γ = 90.00°. The asymmetric unit holds La at (0.000, 0.000, 0.000), Ni at (0.000, 0.000, 0.328), Ni at (0.500, 0.500, 0.271) and Cl at (0.500, 0.500, 0.772).

The value obtained for the energy relative to the elements, uncorrected is -0.4416 eV per atom. The calculation puts the density of states at the Fermi level at 0.728 states/eV per atom. As for the calculated volume: 22.02 Å³/atom. Its crystal system is tetragonal. The value obtained for the offset from the most stable computed form is 148 meV/atom.

---

Entry 3:
Computed, not measured: an optimized crystal structure of LaNiCl6 at the GGA-PBE level of DFT.

It has space group P-1 (No. 2), with a = 6.362 Å, b = 6.369 Å, c = 6.937 Å, α = 90.05°, β = 117.23° and γ = 119.95°. The asymmetric unit holds La at (0.000, 0.000, 0.000), Ni at (0.000, 0.500, 0.500), Cl at (0.154, 0.440, 0.273), Cl at (0.167, 0.286, 0.727) and Cl at (0.441, 0.881, 0.727).

The value obtained for the energy relative to the elements, uncorrected is -1.2913 eV per atom. The calculation puts the density of states at the Fermi level at 0.697 states/eV per atom. As for the calculated volume: 25.84 Å³/atom. Its crystal system is triclinic.

---

Copy entry 1 word for word.
Computed, not measured: an optimized crystal structure of LaNdTe2Cl at the GGA-PBE level of DFT.

It has space group P4/nmm (No. 129, origin choice 2), with a = 4.469 Å, b = 4.469 Å, c = 15.200 Å, α = 90.00°, β = 90.00° and γ = 90.00°. The asymmetric unit holds La at (0.250, 0.250, 0.134), Nd at (0.250, 0.250, 0.587), Te at (0.250, 0.250, 0.375), Te at (0.250, 0.250, 0.800) and Cl at (0.250, 0.750, 0.000).

The value obtained for the energy relative to the elements, uncorrected is -1.7441 eV per atom. The calculation puts the density of states at the Fermi level at 0.310 states/eV per atom. As for the calculated volume: 30.36 Å³/atom. Its crystal system is tetragonal.